1.
A relaxed Rb2CaH4 crystal. Source: Alexandria via LeMat-Bulk, functional PBE.

Values from the calculation:
Relative energy among the computed polymorphs: 0.000 eV/atom
DOS at the Fermi energy: 0.0 states/eV/cell
ρ: 2.42 Mg/m³

Cell lengths 8.0032, 8.0032, 8.0032 Å; angles 147.51, 147.51, 46.60 degrees
Closest atoms and distances in Å follow each position.
Fractional positions:
1 Rb 0.1482 0.1482 0.0000  9 H 2.87-3.17
2 Rb 0.8518 0.8518 0.0000  9 H 2.87-3.17
3 Ca 0.5000 0.5000 0.0000  6 H 2.24-2.30
4 H 0.0000 0.5000 0.5000  2 Ca 2.24
5 H 0.3435 0.3435 0.0000  1 Ca 2.30
6 H 0.5000 0.0000 0.5000  2 Ca 2.24
7 H 0.6565 0.6565 0.0000  1 Ca 2.30



2.
A relaxed RbCaH2 crystal. Source: Alexandria via LeMat-Bulk, functional PBE.

Values from the calculation:
Relative energy among the computed polymorphs: 0.000 eV/atom
DOS at the Fermi energy: 0.9 states/eV/cell
ρ: 1.81 Mg/m³

Cell lengths 4.1261, 4.1261, 6.8575 Å; angles 90.00, 90.00, 90.00 degrees
Closest atoms and distances in Å follow each position.
Fractional positions:
1 Rb 0.0000 0.0000 0.0000  4 H 2.86
2 Ca 0.5000 0.5000 0.5855  4 H 2.24
3 H 0.0000 0.5000 0.7117  2 Ca 2.24
4 H 0.5000 0.0000 0.7117  2 Ca 2.24



3.
A relaxed RbCa2H6 crystal. Source: Alexandria via LeMat-Bulk, functional PBE.

Values from the calculation:
Total energy: -2.36 eV/atom
DOS at the Fermi energy: 2.6 states/eV/cell
ρ: 2.31 Mg/m³

Cell lengths 5.5916, 5.5916, 5.5916 Å; angles 60.00, 60.00, 60.00 degrees
Closest atoms and distances in Å follow each position.
Fractional positions:
1 Rb 0.0000 0.0000 0.0000  6 H 2.40
2 Ca 0.2500 0.2500 0.2500  12 H 2.83
3 Ca 0.7500 0.7500 0.7500  12 H 2.83
4 H 0.3041 0.3041 0.6959  4 H 2.19, 1 Rb 2.40
5 H 0.3041 0.6959 0.3041  4 H 2.19, 1 Rb 2.40
6 H 0.3041 0.6959 0.6959  4 H 2.19, 1 Rb 2.40
7 H 0.6959 0.3041 0.3041  4 H 2.19, 1 Rb 2.40
8 H 0.6959 0.3041 0.6959  4 H 2.19, 1 Rb 2.40
9 H 0.6959 0.6959 0.3041  4 H 2.19, 1 Rb 2.40



4.
A relaxed RbCaH2 crystal. Source: Alexandria via LeMat-Bulk, functional PBE.

Values from the calculation:
Relative energy among the computed polymorphs: 0.029 eV/atom
DOS at the Fermi energy: 1.5 states/eV/cell
ρ: 2.30 Mg/m³

Cell lengths 3.8559, 3.8559, 7.1596 Å; angles 90.00, 90.00, 120.00 degrees
Closest atoms and distances in Å follow each position.
Fractional positions:
1 Rb 0.0000 0.0000 0.0000  4 H 3.10-3.22
2 Ca 0.3333 0.6667 0.4822  3 H 2.28
3 H 0.0000 0.0000 0.5501  3 Ca 2.28
4 H 0.6667 0.3333 0.3018  3 Ca 2.57, 3 H 2.85



5.
A relaxed RbCaH crystal. Source: Alexandria via LeMat-Bulk, functional PBE.

Values from the calculation:
Total energy: -2.23 eV/atom
DOS at the Fermi energy: 4.7 states/eV/cell
ρ: 1.92 Mg/m³

Cell lengths 4.1104, 4.1104, 15.0105 Å; angles 90.67, 90.67, 59.92 degrees
Closest atoms and distances in Å follow each position.
Fractional positions:
1 Rb 0.0000 0.0000 0.0000  6 Rb 4.11, 1 H 4.38, 3 Ca 4.53-4.56
2 Rb 0.6923 0.6923 0.7012  6 Rb 4.11, 1 H 4.38, 3 Ca 4.55
3 Ca 0.0177 0.0177 0.4427  4 H 2.26-2.43
4 Ca 0.6792 0.6792 0.2586  4 H 2.26-2.43
5 H 0.0134 0.0134 0.2919  4 Ca 2.26-2.43
6 H 0.6835 0.6835 0.4095  4 Ca 2.26-2.43



6.
A relaxed RbCaH2 crystal. Source: Alexandria via LeMat-Bulk, functional PBE.

Values from the calculation:
Relative energy among the computed polymorphs: 0.050 eV/atom
DOS at the Fermi energy: 0.9 states/eV/cell
ρ: 2.27 Mg/m³

Cell lengths 3.4745, 4.4929, 6.7210 Å; angles 87.47, 75.09, 67.32 degrees
Closest atoms and distances in Å follow each position.
Fractional positions:
1 Rb 0.0000 0.0000 0.0000  6 H 2.91-3.00
2 Ca 0.5000 0.5000 0.5000  4 H 2.34
3 H 0.1430 0.4533 0.2594  2 Ca 2.34
4 H 0.8570 0.5467 0.7406  2 Ca 2.34



7.
A relaxed RbCaH3 crystal. Source: Alexandria via LeMat-Bulk, functional PBE.

Values from the calculation:
Relative energy among the computed polymorphs: 0.823 eV/atom
DOS at the Fermi energy: 0.0 states/eV/cell
ρ: 1.93 Mg/m³

Cell lengths 4.7964, 4.7964, 4.7964 Å; angles 90.00, 90.00, 90.00 degrees
Closest atoms and distances in Å follow each position.
Fractional positions:
1 Rb 0.0000 0.0000 0.0000  6 H 2.40
2 Ca 0.5000 0.5000 0.5000  12 H 3.39
3 H 0.0000 0.0000 0.5000  2 Rb 2.40
4 H 0.0000 0.5000 0.0000  2 Rb 2.40
5 H 0.5000 0.0000 0.0000  2 Rb 2.40



8.
A relaxed RbCaH2 crystal. Source: Alexandria via LeMat-Bulk, functional PBE.

Values from the calculation:
Relative energy among the computed polymorphs: 0.046 eV/atom
DOS at the Fermi energy: 2.2 states/eV/cell
ρ: 2.39 Mg/m³

Cell lengths 3.8231, 3.8231, 7.3340 Å; angles 104.87, 104.87, 60.06 degrees
Closest atoms and distances in Å follow each position.
Fractional positions:
1 Rb 0.0000 0.0000 0.0000  6 H 3.33-3.34
2 Ca 0.5000 0.5000 0.5000  6 H 2.42
3 H 0.2133 0.2133 0.6424  3 Ca 2.42
4 H 0.7867 0.7867 0.3576  3 Ca 2.42



9.
A relaxed Rb3Ca2H7 crystal. Source: Alexandria via LeMat-Bulk, functional PBE.

Values from the calculation:
Relative energy among the computed polymorphs: 0.000 eV/atom
DOS at the Fermi energy: 0.0 states/eV/cell
ρ: 2.38 Mg/m³

Cell lengths 12.2834, 12.2834, 12.2834 Å; angles 158.93, 158.93, 29.98 degrees
Closest atoms and distances in Å follow each position.
Fractional positions:
1 Rb 0.0000 0.0000 0.0000  12 H 3.18-3.19
2 Rb 0.1867 0.1867 0.0000  9 H 2.87-3.18
3 Rb 0.8133 0.8133 0.0000  9 H 2.87-3.18
4 Ca 0.4042 0.4042 0.0000  6 H 2.25-2.29
5 Ca 0.5958 0.5958 0.0000  6 H 2.25-2.29
6 H 0.0952 0.5952 0.5000  2 Ca 2.25
7 H 0.3076 0.3076 0.0000  1 Ca 2.29
8 H 0.4048 0.9048 0.5000  2 Ca 2.25
9 H 0.5000 0.5000 0.0000  2 Ca 2.27
10 H 0.5952 0.0952 0.5000  2 Ca 2.25
11 H 0.6924 0.6924 0.0000  1 Ca 2.29
12 H 0.9048 0.4048 0.5000  2 Ca 2.25



10.
A relaxed RbCaH2 crystal. Source: Alexandria via LeMat-Bulk, functional PBE.

Values from the calculation:
Relative energy among the computed polymorphs: 0.077 eV/atom
DOS at the Fermi energy: 1.3 states/eV/cell
ρ: 2.55 Mg/m³

Cell lengths 3.7496, 3.7496, 6.8310 Å; angles 90.00, 90.00, 120.00 degrees
Closest atoms and distances in Å follow each position.
Fractional positions:
1 Rb 0.0000 0.0000 0.0000  6 H 3.01
2 Ca 0.3333 0.6667 0.5000  6 H 2.53
3 H 0.6667 0.3333 0.3070  3 Ca 2.53, 1 H 2.64
4 H 0.6667 0.3333 0.6930  3 Ca 2.53, 1 H 2.64



11.
A relaxed RbCaH2 crystal. Source: Alexandria via LeMat-Bulk, functional PBE.

Values from the calculation:
Relative energy among the computed polymorphs: 0.048 eV/atom
DOS at the Fermi energy: 2.4 states/eV/cell
ρ: 1.88 Mg/m³

Cell lengths 7.1683, 7.1683, 7.1683 Å; angles 127.38, 127.38, 77.64 degrees
Closest atoms and distances in Å follow each position.
Fractional positions:
1 Rb 0.0000 0.0000 0.0000  4 H 3.40
2 Rb 0.7500 0.2500 0.5000  4 H 3.40
3 Ca 0.2500 0.7500 0.5000  4 H 2.18
4 Ca 0.5000 0.5000 0.0000  4 H 2.18
5 H 0.2934 0.6250 0.1684  2 Ca 2.18
6 H 0.3750 0.5434 0.6684  2 Ca 2.18
7 H 0.4566 0.1250 0.8316  2 Ca 2.18
8 H 0.8750 0.7066 0.3316  2 Ca 2.18



12.
A relaxed RbCaH3 crystal. Source: Alexandria via LeMat-Bulk, functional PBE.

Values from the calculation:
Relative energy among the computed polymorphs: 0.000 eV/atom
DOS at the Fermi energy: 0.0 states/eV/cell
ρ: 2.34 Mg/m³

Cell lengths 4.5020, 4.5020, 4.5020 Å; angles 90.00, 90.00, 90.00 degrees
Closest atoms and distances in Å follow each position.
Fractional positions:
1 Rb 0.0000 0.0000 0.0000  12 H 3.18
2 Ca 0.5000 0.5000 0.5000  6 H 2.25
3 H 0.0000 0.5000 0.5000  2 Ca 2.25
4 H 0.5000 0.0000 0.5000  2 Ca 2.25
5 H 0.5000 0.5000 0.0000  2 Ca 2.25